No. 1
Here is an optimized crystal structure of CaSb2Ru2 from the Alexandria database. Energies are from PBE.

## Properties
ΔE_f (raw)	-0.8	eV/f.u.
magnetization	0.000	Bohr magnetons per cell
calculated total energy	-5.9155	eV per atom
N(E_F)	9.9	states/eV/cell

abc: 7.8241 7.8241 3.2066
angles: 90.00 90.00 90.00
Space group P4/mbm (No. 127)
Inequivalent atoms, fractional coordinates:
1 Ca 0.0000 0.0000 0.0000
2 Sb 0.1575 0.3425 0.5000
3 Ru 0.1333 0.6333 0.0000



No. 2
Here is an optimized crystal structure of CaSbRu2 from the Alexandria database. Energies are from PBE.

## Properties
ΔE_f (raw)	1.7	eV/f.u.
magnetization	1.122	Bohr magnetons per cell
calculated total energy	-5.7529	eV per atom
N(E_F)	12.8	states/eV/cell

abc: 3.2191 3.2191 26.7703
angles: 90.00 90.00 120.00
Space group R3m (No. 160, hexagonal axes)
Inequivalent atoms, fractional coordinates:
1 Ca 0.0000 0.0000 0.0000
2 Sb 0.0000 0.0000 0.2280
3 Ru 0.0000 0.0000 0.4870
4 Ru 0.0000 0.0000 0.7502



No. 3
Here is an optimized crystal structure of CaSbRu3 from the Alexandria database. Energies are from PBE.

## Properties
ΔE_f (raw)	4.7	eV/f.u.
distance to the lowest polymorph of the same formula	0	meV per atom
magnetization	2.793	Bohr magnetons per cell
calculated total energy	-5.8599	eV per atom
N(E_F)	6.9	states/eV/cell

abc: 4.8820 4.8820 4.8820
angles: 90.00 90.00 90.00
Space group Pm-3m (No. 221)
Inequivalent atoms, fractional coordinates:
1 Ca 0.0000 0.0000 0.0000
2 Sb 0.5000 0.5000 0.5000
3 Ru 0.0000 0.5000 0.5000



No. 4
Here is an optimized crystal structure of CaSbRu2 from the Alexandria database. Energies are from PBE.

## Properties
ΔE_f (raw)	0.6	eV/f.u.
magnetization	0.002	Bohr magnetons per cell
calculated total energy	-6.0074	eV per atom
N(E_F)	10.1	states/eV/cell

abc: 3.9952 3.9952 9.0530
angles: 90.00 90.00 90.00
Space group I-4m2 (No. 119)
Inequivalent atoms, fractional coordinates:
1 Ca 0.0000 0.0000 0.0000
2 Sb 0.0000 0.5000 0.2500
3 Ru 0.0000 0.0000 0.5000
4 Ru 0.0000 0.5000 0.7500



No. 5
Here is an optimized crystal structure of CaSbRu2 from the Alexandria database. Energies are from PBE.

## Properties
ΔE_f (raw)	0.3	eV/f.u.
magnetization	0.000	Bohr magnetons per cell
calculated total energy	-6.0912	eV per atom
N(E_F)	7.6	states/eV/cell

abc: 10.9863 3.1187 4.7181
angles: 90.00 113.55 90.00
Space group Cm (No. 8)
Inequivalent atoms, fractional coordinates:
1 Ca 0.0000 0.0000 0.0000
2 Sb 0.2806 0.5000 0.2398
3 Ru 0.0021 0.5000 0.5174
4 Ru 0.2206 0.0000 0.6469



No. 6
Here is an optimized crystal structure of CaSbRu2 from the Alexandria database. Energies are from PBE.

## Properties
ΔE_f (raw)	0.8	eV/f.u.
magnetization	0.000	Bohr magnetons per cell
calculated total energy	-5.9792	eV per atom
N(E_F)	0.8	states/eV/cell

abc: 3.1323 4.1231 6.2251
angles: 90.00 103.34 90.00
Space group P2/m (No. 10)
Inequivalent atoms, fractional coordinates:
1 Ca 0.0000 0.0000 0.0000
2 Sb 0.0000 0.0000 0.5000
3 Ru 0.3745 0.5000 0.7073



No. 7
Here is an optimized crystal structure of CaSbRu from the Alexandria database. Energies are from PBE.

## Properties
ΔE_f (raw)	-0.9	eV/f.u.
magnetization	0.000	Bohr magnetons per cell
calculated total energy	-5.4430	eV per atom
N(E_F)	4.9	states/eV/cell

abc: 3.3917 3.3917 11.4066
angles: 90.00 90.00 90.00
Space group I4mm (No. 107)
Inequivalent atoms, fractional coordinates:
1 Ca 0.0000 0.0000 0.0000
2 Sb 0.0000 0.0000 0.2905
3 Ru 0.0000 0.0000 0.6834



No. 8
Here is an optimized crystal structure of CaSbRu2 from the Alexandria database. Energies are from PBE.

## Properties
ΔE_f (raw)	0.1	eV/f.u.
magnetization	0.000	Bohr magnetons per cell
calculated total energy	-6.1388	eV per atom
N(E_F)	5.4	states/eV/cell

abc: 3.2921 3.2921 6.8010
angles: 90.00 90.00 90.00
Space group P4/mmm (No. 123)
Inequivalent atoms, fractional coordinates:
1 Ca 0.0000 0.0000 0.0000
2 Sb 0.0000 0.0000 0.5000
3 Ru 0.5000 0.5000 0.2868



No. 9
Here is an optimized crystal structure of CaSbRu2 from the Alexandria database. Energies are from PBE.

## Properties
ΔE_f (raw)	1.2	eV/f.u.
magnetization	10.186	Bohr magnetons per cell
calculated total energy	-5.8776	eV per atom
N(E_F)	19.3	states/eV/cell

abc: 6.6847 6.6847 6.6847
angles: 90.00 90.00 90.00
Space group F-43m (No. 216)
Inequivalent atoms, fractional coordinates:
1 Ca 0.0000 0.0000 0.0000
2 Sb 0.2500 0.2500 0.2500
3 Ru 0.0000 0.0000 0.5000
4 Ru 0.2500 0.2500 0.7500



No. 10
Here is an optimized crystal structure of CaSbRu from the Alexandria database. Energies are from PBE.

## Properties
ΔE_f (raw)	2.1	eV/f.u.
magnetization	0.000	Bohr magnetons per cell
calculated total energy	-4.4413	eV per atom
N(E_F)	11.9	states/eV/cell

abc: 6.7088 6.7088 6.7088
angles: 90.00 90.00 90.00
Space group F-43m (No. 216)
Inequivalent atoms, fractional coordinates:
1 Ca 0.0000 0.0000 0.0000
2 Sb 0.2500 0.2500 0.7500
3 Ru 0.2500 0.2500 0.2500



No. 11
Here is an optimized crystal structure of CaSbRu2 from the Alexandria database. Energies are from PBE.

## Properties
ΔE_f (raw)	1.1	eV/f.u.
magnetization	0.000	Bohr magnetons per cell
calculated total energy	-5.8992	eV per atom
N(E_F)	7.9	states/eV/cell

abc: 6.1143 8.8406 3.0570
angles: 90.00 117.13 90.00
Space group C2/m (No. 12)
Inequivalent atoms, fractional coordinates:
1 Ca 0.0000 0.0000 0.0000
2 Sb 0.0000 0.5000 0.0000
3 Ru 0.2500 0.2500 0.5000



No. 12
Here is an optimized crystal structure of CaSbRu2 from the Alexandria database. Energies are from PBE.

## Properties
ΔE_f (raw)	1.8	eV/f.u.
magnetization	0.000	Bohr magnetons per cell
calculated total energy	-5.7274	eV per atom
N(E_F)	17.5	states/eV/cell

abc: 7.5178 7.5178 6.0674
angles: 90.00 90.00 90.00
Space group I-42d (No. 122)
Inequivalent atoms, fractional coordinates:
1 Ca 0.0000 0.0000 0.0000
2 Sb 0.0000 0.0000 0.5000
3 Ru 0.1969 0.7500 0.6250



No. 13
Here is an optimized crystal structure of CaSb4Ru from the Alexandria database. Energies are from PBE.

## Properties
ΔE_f (raw)	2.7	eV/f.u.
magnetization	9.503	Bohr magnetons per cell
calculated total energy	-4.1712	eV per atom
N(E_F)	14.2	states/eV/cell

abc: 8.7233 8.7233 8.7233
angles: 90.00 90.00 90.00
Space group F-43m (No. 216)
Inequivalent atoms, fractional coordinates:
1 Ca 0.0000 0.0000 0.0000
2 Sb 0.1241 0.1241 0.3759
3 Ru 0.2500 0.2500 0.7500



No. 14
Here is an optimized crystal structure of CaSbRu from the Alexandria database. Energies are from PBE.

## Properties
ΔE_f (raw)	-0.5	eV/f.u.
magnetization	0.000	Bohr magnetons per cell
calculated total energy	-5.3156	eV per atom
N(E_F)	12.0	states/eV/cell

abc: 6.5409 6.5409 6.5409
angles: 90.00 90.00 90.00
Space group F-43m (No. 216)
Inequivalent atoms, fractional coordinates:
1 Ca 0.0000 0.0000 0.0000
2 Sb 0.0000 0.0000 0.5000
3 Ru 0.2500 0.2500 0.2500



No. 15
Here is an optimized crystal structure of CaSbRu2 from the Alexandria database. Energies are from PBE.

## Properties
ΔE_f (raw)	1.3	eV/f.u.
magnetization	0.000	Bohr magnetons per cell
calculated total energy	-5.8452	eV per atom
N(E_F)	6.9	states/eV/cell

abc: 3.3097 3.3097 24.9939
angles: 90.00 90.00 120.00
Space group R-3m (No. 166, hexagonal axes)
Inequivalent atoms, fractional coordinates:
1 Ca 0.0000 0.0000 0.0000
2 Sb 0.0000 0.0000 0.5000
3 Ru 0.0000 0.0000 0.2393



No. 16
Here is an optimized crystal structure of Ca3SbRu from the Alexandria database. Energies are from PBE.

## Properties
ΔE_f (raw)	-0.2	eV/f.u.
distance to the lowest polymorph of the same formula	0	meV per atom
magnetization	0.963	Bohr magnetons per cell
calculated total energy	-3.9186	eV per atom
N(E_F)	5.5	states/eV/cell

abc: 5.3262 5.3262 5.3262
angles: 90.00 90.00 90.00
Space group Pm-3m (No. 221)
Inequivalent atoms, fractional coordinates:
1 Ca 0.0000 0.0000 0.5000
2 Sb 0.5000 0.5000 0.5000
3 Ru 0.0000 0.0000 0.0000



No. 17
Here is an optimized crystal structure of CaSbRu from the Alexandria database. Energies are from PBE.

## Properties
ΔE_f (raw)	-0.9	eV/f.u.
magnetization	0.000	Bohr magnetons per cell
calculated total energy	-5.4268	eV per atom
N(E_F)	1.9	states/eV/cell

abc: 4.5983 4.5983 3.6410
angles: 90.00 90.00 120.00
Space group P-6m2 (No. 187)
Inequivalent atoms, fractional coordinates:
1 Ca 0.0000 0.0000 0.0000
2 Sb 0.3333 0.6667 0.5000
3 Ru 0.6667 0.3333 0.5000



No. 18
Here is an optimized crystal structure of CaSbRu2 from the Alexandria database. Energies are from PBE.

## Properties
ΔE_f (raw)	0.4	eV/f.u.
magnetization	0.564	Bohr magnetons per cell
calculated total energy	-6.0766	eV per atom
N(E_F)	3.9	states/eV/cell

abc: 3.1481 3.1481 7.9294
angles: 90.00 90.00 90.00
Space group P4mm (No. 99)
Inequivalent atoms, fractional coordinates:
1 Ca 0.0000 0.0000 0.0000
2 Sb 0.5000 0.5000 0.6611
3 Ru 0.0000 0.0000 0.4468
4 Ru 0.5000 0.5000 0.2615



No. 19
Here is an optimized crystal structure of Ca2Sb2Ru from the Alexandria database. Energies are from PBE.

## Properties
ΔE_f (raw)	-2.7	eV/f.u.
magnetization	0.000	Bohr magnetons per cell
calculated total energy	-4.8453	eV per atom
N(E_F)	3.5	states/eV/cell

abc: 7.0739 7.0739 4.9091
angles: 90.00 90.00 90.00
Space group P4/mbm (No. 127)
Inequivalent atoms, fractional coordinates:
1 Ca 0.1706 0.3294 0.0000
2 Sb 0.1479 0.6479 0.5000
3 Ru 0.0000 0.0000 0.5000



No. 20
Here is an optimized crystal structure of CaSbTe2Ru from the Alexandria database. Energies are from PBE.

## Properties
ΔE_f (raw)	5.6	eV/f.u.
distance to the lowest polymorph of the same formula	1226	meV per atom
magnetization	2.701	Bohr magnetons per cell
calculated total energy	-3.2241	eV per atom
N(E_F)	6.1	states/eV/cell

abc: 5.7006 5.7006 5.6908
angles: 90.00 90.00 90.00
Space group P4/mmm (No. 123)
Inequivalent atoms, fractional coordinates:
1 Ca 0.0000 0.0000 0.0000
2 Sb 0.0000 0.0000 0.5000
3 Te 0.0000 0.5000 0.0000
4 Ru 0.5000 0.5000 0.5000